1.
La2Cu5Pd12, optimized geometry, DFT PBE-GGA; volume = 317.9 Å³/cell; VASP energy = -99.8 eV for the cell shown; space-group type = R-3m, No. 166
1.0
6.840 0.163 0.752
0.691 6.807 0.752
0.176 0.163 6.879
Pd Cu La
12 5 2
direct
0.295 0.705 0.000
0.342 0.862 0.342
0.658 0.658 0.138
0.000 0.295 0.705
0.705 0.295 0.000
0.000 0.705 0.295
0.705 0.000 0.295
0.862 0.342 0.342
0.138 0.658 0.658
0.295 0.000 0.705
0.342 0.342 0.862
0.658 0.138 0.658
0.500 0.000 0.000
0.000 0.500 0.000
0.000 0.000 0.500
0.093 0.093 0.093
0.907 0.907 0.907
0.340 0.340 0.340
0.660 0.660 0.660

=====

2.
TiV2CoHg, optimized geometry, DFT PBE-GGA; volume = 111.4 Å³/cell; VASP energy = -24.6 eV for the cell shown; space-group type = P4/mmm, No. 123
1.0
4.892 0.000 0.000
0.000 4.656 0.000
0.000 0.000 4.892
Hg V Ti Co
1 2 1 1
direct
0.000 0.000 0.000
0.000 0.000 0.500
0.500 0.000 0.000
0.500 0.500 0.500
0.000 0.500 0.000

=====

3.
Sm2MgCd4, optimized geometry, DFT PBE-GGA; offset from the most stable computed form = 0.0 meV/atom; volume = 191.1 Å³/cell; VASP energy = -15.7 eV for the cell shown; space-group type = R-3m, No. 166
1.0
4.899 0.000 1.531
2.210 4.372 1.531
-0.087 -0.053 8.883
Cd Mg Sm
4 1 2
direct
0.378 0.378 0.866
0.127 0.127 0.620
0.622 0.622 0.134
0.873 0.873 0.380
0.000 0.000 0.000
0.747 0.747 0.758
0.253 0.253 0.242

=====

4.
Sm2AsO5, optimized geometry, DFT PBE-GGA; uncorrected formation energy = -20.7 eV per formula unit; volume = 478.0 Å³/cell; VASP energy = -238.2 eV for the cell shown; space-group type = P2_1/c, No. 14
1.0
6.913 0.000 -0.952
0.000 7.364 0.000
0.884 0.000 9.269
O Sm As
20 8 4
direct
0.907 0.623 0.097
0.009 0.324 0.396
0.245 0.605 0.276
0.509 0.176 0.396
0.391 0.449 0.645
0.059 0.860 0.880
0.441 0.360 0.120
0.407 0.877 0.097
0.255 0.105 0.724
0.593 0.123 0.903
0.609 0.551 0.355
0.755 0.395 0.724
0.891 0.051 0.645
0.109 0.949 0.355
0.093 0.377 0.903
0.991 0.676 0.604
0.491 0.824 0.604
0.745 0.895 0.276
0.941 0.140 0.120
0.559 0.640 0.880
0.227 0.621 0.025
0.933 0.644 0.346
0.433 0.856 0.346
0.567 0.144 0.654
0.773 0.379 0.975
0.067 0.356 0.654
0.273 0.121 0.975
0.727 0.879 0.025
0.577 0.607 0.686
0.423 0.393 0.314
0.923 0.107 0.314
0.077 0.893 0.686

=====

5.
Rb2FeAgI6, optimized geometry, DFT PBE-GGA; uncorrected formation energy = -6.5 eV per formula unit; offset from the most stable computed form = 0.0 meV/atom; volume = 772.2 Å³/cell; VASP energy = -58.1 eV for the cell shown; space-group type = P2_1/c, No. 14
1.0
8.031 0.002 0.015
0.002 8.152 0.000
0.081 0.000 11.796
Fe Ag I Rb
2 2 12 4
direct
0.500 0.000 0.500
0.000 0.500 0.000
0.000 0.500 0.500
0.500 0.000 0.000
0.284 0.700 0.028
0.449 0.007 0.733
0.784 0.800 0.528
0.551 0.993 0.267
0.797 0.788 0.978
0.216 0.200 0.472
0.949 0.493 0.233
0.702 0.288 0.522
0.203 0.212 0.022
0.051 0.507 0.767
0.298 0.712 0.478
0.716 0.300 0.972
0.482 0.447 0.250
0.518 0.553 0.750
0.982 0.052 0.750
0.018 0.948 0.250

=====

6.
FeReH3, optimized geometry, DFT PBE-GGA; offset from the most stable computed form = 131.8 meV/atom; volume = 40.8 Å³/cell; VASP energy = -28.1 eV for the cell shown; space-group type = Pm-3m, No. 221
1.0
-1.673 2.983 -0.391
-0.158 -0.534 -3.397
-3.004 -1.633 0.396
H Fe Re
3 1 1
direct
0.000 0.500 0.000
0.000 0.000 0.500
0.500 0.000 0.000
0.500 0.500 0.500
0.000 0.000 0.000

=====

7.
Pr2ZnGa4Ni3, optimized geometry, DFT PBE-GGA; volume = 178.9 Å³/cell; VASP energy = -45.6 eV for the cell shown; space-group type = P-4m2, No. 115
1.0
4.193 0.000 0.000
0.000 4.193 0.000
0.000 0.000 10.176
Ga Ni Pr Zn
4 3 2 1
direct
0.500 0.500 0.000
0.000 0.000 0.000
0.000 0.500 0.363
0.500 0.000 0.637
0.000 0.500 0.127
0.500 0.000 0.873
0.000 0.000 0.500
0.000 0.500 0.756
0.500 0.000 0.244
0.500 0.500 0.500

=====

8.
Li2LaCr, optimized geometry, DFT PBE-GGA; offset from the most stable computed form = 104.4 meV/atom; volume = 90.7 Å³/cell; VASP energy = -16.6 eV for the cell shown; space-group type = P4/mmm, No. 123
1.0
3.667 0.000 0.000
0.000 3.667 0.000
0.000 0.000 6.744
La Li Cr
1 2 1
direct
0.500 0.500 0.750
0.000 0.000 0.445
0.000 0.000 0.055
0.500 0.500 0.250

=====

9.
BaCaAgPt, optimized geometry, DFT PBE-GGA; volume = 109.5 Å³/cell; VASP energy = -14.7 eV for the cell shown; space-group type = F-43m, No. 216
1.0
-5.175 1.355 0.474
-3.597 -1.862 -3.526
-3.608 -3.672 1.530
Ag Pt Ba Ca
1 1 1 1
direct
0.250 0.250 0.250
0.750 0.750 0.750
0.000 0.000 0.000
0.500 0.500 0.500

=====

10.
Nd2YAg, optimized geometry, DFT PBE-GGA; offset from the most stable computed form = 0.0 meV/atom; volume = 239.8 Å³/cell; VASP energy = -38.7 eV for the cell shown; space-group type = I4/mmm, No. 139
1.0
5.040 0.000 -1.398
-0.388 5.025 -1.398
-0.075 -0.081 9.513
Nd Y Ag
4 2 2
direct
0.640 0.640 0.280
0.500 0.000 0.000
0.000 0.500 0.000
0.360 0.360 0.720
0.850 0.850 0.701
0.150 0.150 0.299
0.750 0.250 0.500
0.250 0.750 0.500

=====

11.
La3CdO, optimized geometry, DFT PBE-GGA; uncorrected formation energy = -5.9 eV per formula unit; offset from the most stable computed form = 133.7 meV/atom; volume = 296.3 Å³/cell; VASP energy = -53.0 eV for the cell shown; space-group type = P2_1/m, No. 11
1.0
3.527 0.000 1.471
0.000 9.581 0.000
-1.381 0.000 8.193
La O Cd
6 2 2
direct
0.910 0.939 0.695
0.090 0.439 0.305
0.090 0.061 0.305
0.762 0.250 0.951
0.910 0.561 0.695
0.238 0.750 0.049
0.179 0.250 0.121
0.821 0.750 0.879
0.545 0.750 0.417
0.455 0.250 0.583

=====

12.
LaPr2ThS4, optimized geometry, DFT PBE-GGA; uncorrected formation energy = -16.1 eV per formula unit; volume = 194.8 Å³/cell; VASP energy = -54.5 eV for the cell shown; space-group type = P2/m, No. 10
1.0
4.089 0.000 0.000
0.000 7.102 0.124
0.000 -2.479 6.663
Pr S Th La
2 4 1 1
direct
0.500 0.000 0.500
0.000 0.500 0.500
0.500 0.254 0.249
0.000 0.255 0.753
0.500 0.746 0.751
0.000 0.745 0.247
0.500 0.500 0.000
0.000 0.000 0.000

=====

13.
CaIr2, optimized geometry, DFT PBE-GGA; volume = 224.6 Å³/cell; VASP energy = -54.8 eV for the cell shown; space-group type = P-62m, No. 189
1.0
3.850 -6.669 0.000
3.850 6.669 0.000
0.000 0.000 4.374
Ir Ca
6 3
direct
0.376 0.000 0.500
0.624 0.624 0.500
0.747 0.747 0.000
0.000 0.253 0.000
0.253 0.000 0.000
0.000 0.376 0.500
0.333 0.667 0.000
0.000 0.000 0.500
0.667 0.333 0.000

=====

14.
U2SbSe, optimized geometry, DFT PBE-GGA; uncorrected formation energy = -2.3 eV per formula unit; offset from the most stable computed form = 0.0 meV/atom; volume = 106.1 Å³/cell; VASP energy = -32.5 eV for the cell shown; space-group type = R-3m, No. 166
1.0
4.327 0.000 0.000
2.163 3.747 0.000
2.163 1.249 6.543
Sb Se U
1 1 2
direct
0.000 0.000 0.000
0.500 0.500 0.500
0.241 0.241 0.276
0.759 0.759 0.724

=====

15.
GaBiPdO6, optimized geometry, DFT PBE-GGA; uncorrected formation energy = -8.0 eV per formula unit; volume = 214.3 Å³/cell; VASP energy = -99.6 eV for the cell shown; space-group type = P-31c, No. 163
1.0
-0.572 2.574 -4.457
-4.168 -1.374 2.750
0.380 8.005 4.575
O Ga Bi Pd
12 2 2 2
direct
0.997 0.641 0.369
0.641 0.997 0.869
0.356 0.359 0.869
0.356 0.997 0.631
0.003 0.359 0.631
0.644 0.003 0.369
0.359 0.003 0.131
0.641 0.644 0.631
0.997 0.356 0.131
0.359 0.356 0.369
0.003 0.644 0.869
0.644 0.641 0.131
0.333 0.667 0.750
0.667 0.333 0.250
0.000 0.000 0.500
0.000 0.000 0.000
0.667 0.333 0.750
0.333 0.667 0.250

=====

16.
KRe2Ru, optimized geometry, DFT PBE-GGA; offset from the most stable computed form = 717.2 meV/atom; volume = 65.6 Å³/cell; VASP energy = -29.6 eV for the cell shown; space-group type = F-43m, No. 216
1.0
-4.290 -1.438 -0.161
-1.055 -3.716 -2.361
-1.199 -3.792 2.164
Ru K Re
1 1 2
direct
0.750 0.750 0.750
0.500 0.500 0.500
0.000 0.000 0.000
0.250 0.250 0.250

=====

17.
TcTeSe2, optimized geometry, DFT PBE-GGA; uncorrected formation energy = -0.1 eV per formula unit; volume = 416.9 Å³/cell; VASP energy = -82.2 eV for the cell shown; space-group type = Pnma, No. 62
1.0
-2.764 3.648 -6.572
-5.692 -8.146 -2.127
-3.857 1.984 2.724
Se Tc Te
8 4 4
direct
0.338 0.929 0.062
0.162 0.429 0.562
0.595 0.268 0.062
0.905 0.768 0.562
0.095 0.232 0.062
0.662 0.071 0.562
0.838 0.571 0.062
0.405 0.732 0.562
0.101 0.466 0.062
0.601 0.034 0.062
0.399 0.966 0.562
0.899 0.534 0.562
0.853 0.878 0.062
0.353 0.622 0.062
0.647 0.378 0.562
0.147 0.122 0.562

=====

18.
Tb2ZnCuRh2, optimized geometry, DFT PBE-GGA; volume = 227.5 Å³/cell; VASP energy = -65.9 eV for the cell shown; space-group type = Ibam, No. 72
1.0
5.650 0.000 0.000
0.000 5.687 0.000
-2.825 -2.844 7.079
Tb Zn Rh Cu
4 2 4 2
direct
0.427 0.168 0.337
0.573 0.832 0.663
0.909 0.668 0.337
0.091 0.332 0.663
0.000 0.250 0.000
0.000 0.750 0.000
0.119 0.877 0.754
0.881 0.123 0.246
0.365 0.623 0.246
0.635 0.377 0.754
0.500 0.250 0.000
0.500 0.750 0.000

=====

19.
DyMg5Pb6, optimized geometry, DFT PBE-GGA; offset from the most stable computed form = 0.0 meV/atom; volume = 318.9 Å³/cell; VASP energy = -36.3 eV for the cell shown; space-group type = Cmmm, No. 65
1.0
-2.360 4.331 -2.204
-3.054 -4.209 -4.999
-7.675 1.102 3.762
Pb Dy Mg
6 1 5
direct
0.500 0.738 0.000
0.500 0.262 0.000
0.830 0.750 0.341
0.170 0.250 0.659
0.830 0.250 0.341
0.170 0.750 0.659
0.000 0.000 0.000
0.329 0.500 0.342
0.671 0.500 0.658
0.338 0.000 0.324
0.662 0.000 0.676
0.000 0.500 0.000

=====

20.
Cs2Hg6Au3, optimized geometry, DFT PBE-GGA; volume = 349.8 Å³/cell; VASP energy = -15.2 eV for the cell shown; space-group type = P-62m, No. 189
1.0
5.074 0.000 0.000
0.000 8.922 0.000
0.000 -4.461 7.726
Hg Cs Au
6 2 3
direct
0.500 0.682 0.682
0.500 0.318 0.000
0.000 0.802 0.000
0.000 0.000 0.802
0.000 0.198 0.198
0.500 0.000 0.318
0.000 0.333 0.667
0.000 0.667 0.333
0.500 0.648 0.000
0.500 0.352 0.352
0.500 0.000 0.648